Here is a geometry-optimized HfZnNiAg structure from OQMD. Energies are from PBE.

Space-group type: F-43m (216)
Magnetization: 0.01 μB/cell
Energy relative to the elements: -0.025 eV/atom
Energy: -4.928 eV per atom

Cell and atoms, written as CIF:
```
data_HfZnNiAg
_chemical_formula_sum 'Hf1 Zn1 Ni1 Ag1'
_cell_length_a 4.4818
_cell_length_b 4.4818
_cell_length_c 4.4818
_cell_angle_alpha 60.00
_cell_angle_beta 60.00
_cell_angle_gamma 60.00
_symmetry_space_group_name_H-M 'P 1'
_symmetry_Int_Tables_number 1
loop_
_symmetry_equiv_pos_as_xyz
'x,y,z'
loop_
_atom_site_label
_atom_site_fract_x
_atom_site_fract_y
_atom_site_fract_z
Ag1 0.5000 0.5000 0.5000
Hf1 0.2500 0.2500 0.2500
Ni1 0.7500 0.7500 0.7500
Zn1 0.0000 0.0000 0.0000
```


Here is a geometry-optimized TbSnTe3Au structure from OQMD. Energies are from PBE.

Offset from the most stable computed form: 1 meV/atom
Space-group type: Cmcm (63)
Magnetization: 0.00 μB/cell
Energy: -4.217 eV per atom

Cell and atoms, written as CIF:
```
data_TbSnTe3Au
_chemical_formula_sum 'Tb2 Sn2 Te6 Au2'
_cell_length_a 7.7132
_cell_length_b 7.7132
_cell_length_c 11.1227
_cell_angle_alpha 90.00
_cell_angle_beta 90.00
_cell_angle_gamma 32.13
_symmetry_space_group_name_H-M 'P 1'
_symmetry_Int_Tables_number 1
loop_
_symmetry_equiv_pos_as_xyz
'x,y,z'
loop_
_atom_site_label
_atom_site_fract_x
_atom_site_fract_y
_atom_site_fract_z
Au1 0.4710 0.4710 0.2500
Au2 0.5290 0.5290 0.7500
Sn1 0.7756 0.7756 0.2500
Sn2 0.2244 0.2244 0.7500
Tb1 0.0000 0.0000 0.0000
Tb2 0.0000 0.0000 0.5000
Te1 0.3512 0.3512 0.0558
Te2 0.0964 0.0964 0.2500
Te3 0.3512 0.3512 0.4442
Te4 0.6488 0.6488 0.5558
Te5 0.9036 0.9036 0.7500
Te6 0.6488 0.6488 0.9442
```


Here is a geometry-optimized CdTePbO structure from OQMD. Energies are from PBE.

Offset from the most stable computed form: 165 meV/atom
Space-group type: Pm (6)
Energy: -3.690 eV per atom

Cell and atoms, written as CIF:
```
data_CdTePbO
_chemical_formula_sum 'Cd2 Te2 Pb2 O2'
_cell_length_a 3.2937
_cell_length_b 5.9873
_cell_length_c 9.2930
_cell_angle_alpha 90.00
_cell_angle_beta 79.80
_cell_angle_gamma 90.00
_symmetry_space_group_name_H-M 'P 1'
_symmetry_Int_Tables_number 1
loop_
_symmetry_equiv_pos_as_xyz
'x,y,z'
loop_
_atom_site_label
_atom_site_fract_x
_atom_site_fract_y
_atom_site_fract_z
Cd1 0.5345 0.7500 0.0831
Cd2 0.6191 0.2500 0.9183
O1 0.0898 0.9984 0.9973
O2 0.0898 0.5016 0.9973
Pb1 0.9454 0.2500 0.2508
Pb2 0.1961 0.7500 0.7540
Te1 0.5748 0.7500 0.3836
Te2 0.9505 0.2500 0.6157
```


Here is a geometry-optimized LuCoTcBi structure from OQMD. Energies are from PBE.

Offset from the most stable computed form: 382 meV/atom
Space-group type: F-43m (216)
Magnetization: 3.75 μB/cell
Energy: -6.051 eV per atom

Cell and atoms, written as CIF:
```
data_LuCoTcBi
_chemical_formula_sum 'Lu1 Co1 Tc1 Bi1'
_cell_length_a 4.7698
_cell_length_b 4.7698
_cell_length_c 4.7698
_cell_angle_alpha 60.00
_cell_angle_beta 60.00
_cell_angle_gamma 60.00
_symmetry_space_group_name_H-M 'P 1'
_symmetry_Int_Tables_number 1
loop_
_symmetry_equiv_pos_as_xyz
'x,y,z'
loop_
_atom_site_label
_atom_site_fract_x
_atom_site_fract_y
_atom_site_fract_z
Bi1 0.0000 0.0000 0.0000
Co1 0.7500 0.7500 0.7500
Lu1 0.2500 0.2500 0.2500
Tc1 0.5000 0.5000 0.5000
```


Here is a geometry-optimized TmTcNO structure from OQMD. Energies are from PBE.

Offset from the most stable computed form: 646 meV/atom
Space-group type: P4/mmm (123)
Magnetization: 3.38 μB/cell
Energy: -8.129 eV per atom

Cell and atoms, written as CIF:
```
data_TmTcNO
_chemical_formula_sum 'Tm2 Tc2 N2 O2'
_cell_length_a 4.7165
_cell_length_b 4.7165
_cell_length_c 4.3376
_cell_angle_alpha 90.00
_cell_angle_beta 90.00
_cell_angle_gamma 90.00
_symmetry_space_group_name_H-M 'P 1'
_symmetry_Int_Tables_number 1
loop_
_symmetry_equiv_pos_as_xyz
'x,y,z'
loop_
_atom_site_label
_atom_site_fract_x
_atom_site_fract_y
_atom_site_fract_z
N1 0.5000 0.5000 0.4997
N2 0.0000 0.0000 0.5003
O1 0.5000 0.0000 0.0000
O2 0.0000 0.5000 0.0000
Tc1 0.0000 0.0000 0.0002
Tc2 0.5000 0.5000 0.9998
Tm1 0.5000 0.0000 0.5000
Tm2 0.0000 0.5000 0.5000
```


Here is a geometry-optimized RbIrNO structure from OQMD. Energies are from PBE.

Offset from the most stable computed form: 633 meV/atom
Space-group type: P4/nmm (129)
Magnetization: 0.02 μB/cell
Energy: -5.365 eV per atom

Cell and atoms, written as CIF:
```
data_RbIrNO
_chemical_formula_sum 'Rb2 Ir2 N2 O2'
_cell_length_a 3.6862
_cell_length_b 3.6862
_cell_length_c 10.5302
_cell_angle_alpha 90.00
_cell_angle_beta 90.00
_cell_angle_gamma 90.00
_symmetry_space_group_name_H-M 'P 1'
_symmetry_Int_Tables_number 1
loop_
_symmetry_equiv_pos_as_xyz
'x,y,z'
loop_
_atom_site_label
_atom_site_fract_x
_atom_site_fract_y
_atom_site_fract_z
Ir1 0.7500 0.2500 0.5000
Ir2 0.2500 0.7500 0.5000
N1 0.7500 0.7500 0.4013
N2 0.2500 0.2500 0.5987
O1 0.7500 0.2500 0.0000
O2 0.2500 0.7500 0.0000
Rb1 0.2500 0.2500 0.1836
Rb2 0.7500 0.7500 0.8164
```


Here is a geometry-optimized PrPaAg structure from OQMD. Energies are from PBE.

Offset from the most stable computed form: 0 meV/atom
Space-group type: F-43m (216)
Magnetization: 2.47 μB/cell
Energy relative to the elements: 0.602 eV/atom
Energy: -5.096 eV per atom

Cell and atoms, written as CIF:
```
data_PrPaAg
_chemical_formula_sum 'Pr1 Pa1 Ag1'
_cell_length_a 5.0634
_cell_length_b 5.0634
_cell_length_c 5.0634
_cell_angle_alpha 60.00
_cell_angle_beta 60.00
_cell_angle_gamma 60.00
_symmetry_space_group_name_H-M 'P 1'
_symmetry_Int_Tables_number 1
loop_
_symmetry_equiv_pos_as_xyz
'x,y,z'
loop_
_atom_site_label
_atom_site_fract_x
_atom_site_fract_y
_atom_site_fract_z
Ag1 0.0000 0.0000 0.0000
Pa1 0.2500 0.2500 0.2500
Pr1 0.7500 0.7500 0.7500
```


Here is a geometry-optimized TbHoAl2Pt4 structure from OQMD. Energies are from PBE.

Space-group type: P-6m2 (187)
Magnetization: 0.00 μB/cell
Energy: -6.305 eV per atom

Cell and atoms, written as CIF:
```
data_TbHoAl2Pt4
_chemical_formula_sum 'Tb1 Ho1 Al2 Pt4'
_cell_length_a 4.3444
_cell_length_b 4.3444
_cell_length_c 9.2234
_cell_angle_alpha 90.00
_cell_angle_beta 90.00
_cell_angle_gamma 120.00
_symmetry_space_group_name_H-M 'P 1'
_symmetry_Int_Tables_number 1
loop_
_symmetry_equiv_pos_as_xyz
'x,y,z'
loop_
_atom_site_label
_atom_site_fract_x
_atom_site_fract_y
_atom_site_fract_z
Al1 0.6667 0.3333 0.2491
Al2 0.6667 0.3333 0.7509
Ho1 0.0000 0.0000 0.0000
Pt1 0.3333 0.6667 0.1643
Pt2 0.0000 0.0000 0.3316
Pt3 0.0000 0.0000 0.6684
Pt4 0.3333 0.6667 0.8357
Tb1 0.3333 0.6667 0.5000
```